(1)
Density functional theory data (GGA-PBE) for Be2InP after structural relaxation.

Values from the calculation:
DFT formation energy in kJ per mole of atoms: 25
Magnetization in μB per formula unit: 0.0
Energy relative to the lowest polymorph listed for this composition in meV/atom: 109

Cell and atoms, written as POSCAR:
```
Be2InP
1.0
3.778 0.000 0.000
0.000 1.792 5.102
0.000 -1.792 5.102
Be In P
2 1 1
Direct
0.000 0.000 0.000
0.000 0.393 0.393
0.500 0.797 0.797
0.000 0.601 0.601
```

=====

(2)
Density functional theory data (GGA-PBE) for Sc4Hg5Pd2 after structural relaxation.

Values from the calculation:
DFT formation energy in kJ per mole of atoms: -49
Magnetization in μB per formula unit: 0.0

Cell and atoms, written as POSCAR:
```
Sc4Hg5Pd2
1.0
7.466 0.000 0.000
0.000 3.332 0.000
-0.668 0.000 9.378
Sc Hg Pd
4 5 2
Direct
0.184 0.000 0.354
0.223 0.000 0.935
0.777 0.000 0.065
0.816 0.000 0.646
0.163 0.500 0.638
0.460 0.500 0.167
0.500 0.500 0.500
0.540 0.500 0.833
0.837 0.500 0.362
0.075 0.500 0.138
0.925 0.500 0.862
```

=====

(3)
Density functional theory data (GGA-PBE) for IrRu after structural relaxation.

Values from the calculation:
DFT formation energy in kJ per mole of atoms: 58
Magnetization in μB per formula unit: 1.2
Energy relative to the lowest polymorph listed for this composition in meV/atom: 652

Cell and atoms, written as POSCAR:
```
IrRu
1.0
3.093 0.000 0.000
0.000 3.093 0.000
0.000 0.000 3.093
Ir Ru
1 1
Direct
0.000 0.000 0.000
0.500 0.500 0.500
```